--- A ---
5
Lattice="4.4461 0.0000 0.0000 0.0000 4.4461 0.0000 0.0000 0.0000 6.8738" Properties=species:S:1:pos:R:3 comment="MgPbIN2, optimized geometry, DFT PBE-GGA" crystal_system=tetragonal vol_a3_per_cell=135.88 rho_g_cm3=4.72 pbc="T T T"
Pb 0.0000 0.0000 0.0000
I 0.0000 0.0000 3.4369
Mg 2.2231 2.2231 3.4369
N 0.0000 2.2231 0.0000
N 2.2231 0.0000 0.0000

***

--- B ---
5
Lattice="-3.9696 1.9588 0.6986 -1.5343 -1.7421 -3.8333 -1.8689 -4.8383 2.9468" Properties=species:S:1:pos:R:3 comment="MgPbIN2, optimized geometry, DFT PBE-GGA" crystal_system=tetragonal vol_a3_per_cell=119.80 rho_g_cm3=5.36 pbc="T T T"
Pb -3.6864 -2.3107 -0.0940
I -0.9345 -2.4191 1.4734
Mg 0.0000 0.0000 0.0000
N -0.7671 -0.8710 -1.9167
N -1.9848 0.9794 0.3493

***

Sorted by energy, starting with the most stable: B, A.

***

--- A ---
5
Lattice="-2.8054 -2.7623 -4.4410 5.2097 -1.9190 -2.0973 -0.3141 -3.3404 2.2762" Properties=species:S:1:pos:R:3 comment="MgPbI2N, optimized geometry, DFT PBE-GGA" crystal_system=tetragonal vol_a3_per_cell=142.80 rho_g_cm3=5.81 pbc="T T T"
Pb 1.0451 -4.0109 -2.1311
I 2.6048 -0.9595 -1.0487
I -1.4027 -1.3811 -2.2205
Mg 0.0000 0.0000 0.0000
N -0.1571 -1.6702 1.1381

***

--- B ---
5
Lattice="6.3315 0.0000 0.0000 0.0000 6.3315 0.0000 0.0000 0.0000 5.0390" Properties=species:S:1:pos:R:3 comment="MgPbI2N, optimized geometry, DFT PBE-GGA" crystal_system=tetragonal vol_a3_per_cell=202.00 rho_g_cm3=4.10 pbc="T T T"
Pb 0.0000 0.0000 0.0000
I 0.0000 3.1657 0.0000
I 3.1657 0.0000 0.0000
Mg 3.1657 3.1657 2.5195
N 0.0000 0.0000 2.5195

***

Sorted by energy, starting with the most stable: A, B.